This record from the Alexandria database describes crystalline NiHg2Au at its relaxed geometry. The functional is GGA-PBE.

As for the size of the total moment: 0.000 μB per cell. The calculation puts the calculated total energy at -2.22 eV/atom. The mass density comes out at 14.74 g/cm³.

It has space group R-3m (No. 166, hexagonal axes), with a = 3.0942 Å, b = 3.0942 Å, c = 26.7743 Å, α = 90.00°, β = 90.00° and γ = 120.00°. The distinct sites, in fractional coordinates, are Ni at (0.0000, 0.0000, 0.0000), Hg at (0.0000, 0.0000, 0.2583) and Au at (0.0000, 0.0000, 0.5000).



This record from the Alexandria database describes crystalline NiHg2Au at its relaxed geometry. The functional is GGA-PBE.

As for the size of the total moment: 0.000 μB per cell. The calculation puts the calculated total energy at -2.31 eV/atom. The mass density comes out at 13.75 g/cm³.

It has space group Imm2 (No. 44), with a = 2.907 Å, b = 4.481 Å, c = 12.182 Å, α = 90.00°, β = 90.00° and γ = 90.00°. The distinct sites, in fractional coordinates, are Ni at (0.000, 0.000, 0.000), Hg at (0.000, 0.000, 0.511), Hg at (0.000, 0.500, 0.309) and Au at (0.000, 0.500, 0.685).



This record from the Alexandria database describes crystalline NiHgAu2 at its relaxed geometry. The functional is GGA-PBE.

As for the size of the total moment: 0.000 μB per cell. The calculation puts the calculated total energy at -3.01 eV/atom. The mass density comes out at 15.81 g/cm³.

It has space group I4/mmm (No. 139), with a = 4.087 Å, b = 4.087 Å, c = 8.214 Å, α = 90.00°, β = 90.00° and γ = 90.00°. The distinct sites, in fractional coordinates, are Ni at (0.000, 0.000, 0.000), Hg at (0.000, 0.000, 0.500) and Au at (0.000, 0.500, 0.250).



This record from the Alexandria database describes crystalline NiHgAu2 at its relaxed geometry. The functional is GGA-PBE.

As for the size of the total moment: 0.001 μB per cell. The calculation puts the calculated total energy at -3.00 eV/atom. The mass density comes out at 15.71 g/cm³.

It has space group F-43m (No. 216), with a = 6.512 Å, b = 6.512 Å, c = 6.512 Å, α = 90.00°, β = 90.00° and γ = 90.00°. The distinct sites, in fractional coordinates, are Ni at (0.000, 0.000, 0.000), Hg at (0.250, 0.250, 0.750), Au at (0.000, 0.000, 0.500) and Au at (0.250, 0.250, 0.250).



This record from the Alexandria database describes crystalline NiHg2Au at its relaxed geometry. The functional is GGA-PBE.

As for the size of the total moment: 0.000 μB per cell. The calculation puts the calculated total energy at -2.11 eV/atom. The mass density comes out at 13.81 g/cm³.

It has space group I-42d (No. 122), with a = 7.484 Å, b = 7.484 Å, c = 5.642 Å, α = 90.00°, β = 90.00° and γ = 90.00°. The distinct sites, in fractional coordinates, are Ni at (0.000, 0.000, 0.000), Hg at (0.221, 0.250, 0.125) and Au at (0.000, 0.000, 0.500).



This record from the Alexandria database describes crystalline Ni4HgAu at its relaxed geometry. The functional is GGA-PBE.

As for the size of the total moment: 4.138 μB per cell. The calculation puts the calculated total energy at -4.29 eV/atom. The mass density comes out at 12.87 g/cm³.

It has space group F-43m (No. 216), with a = 6.885 Å, b = 6.885 Å, c = 6.885 Å, α = 90.00°, β = 90.00° and γ = 90.00°. The distinct sites, in fractional coordinates, are Ni at (0.125, 0.125, 0.125), Hg at (0.000, 0.000, 0.500) and Au at (0.250, 0.250, 0.750).



This record from the Alexandria database describes crystalline NiHgAu2 at its relaxed geometry. The functional is GGA-PBE.

As for the size of the total moment: 0.000 μB per cell. The calculation puts the calculated total energy at -3.05 eV/atom. The mass density comes out at 15.67 g/cm³.

It has space group P4/mmm (No. 123), with a = 3.072 Å, b = 3.072 Å, c = 7.335 Å, α = 90.00°, β = 90.00° and γ = 90.00°. The distinct sites, in fractional coordinates, are Ni at (0.000, 0.000, 0.000), Hg at (0.000, 0.000, 0.500) and Au at (0.500, 0.500, 0.211).



This record from the Alexandria database describes crystalline NiHg3Au at its relaxed geometry. The functional is GGA-PBE.

As for the size of the total moment: 0.000 μB per cell. The calculation puts the calculated total energy at -1.62 eV/atom. The mass density comes out at 11.46 g/cm³.

It has space group Pm-3m (No. 221), with a = 4.990 Å, b = 4.990 Å, c = 4.990 Å, α = 90.00°, β = 90.00° and γ = 90.00°. The distinct sites, in fractional coordinates, are Ni at (0.000, 0.000, 0.000), Hg at (0.000, 0.000, 0.500) and Au at (0.500, 0.500, 0.500).